DFT (PBE-GGA) results for a geometry-optimized SrNi2Ru structure.

Lattice parameters (Å, degrees): 4.1672 4.1672 5.8497 69.17 69.17 59.99
With the nearest neighbours (Å) after each atom.
Sites, in units of the cell vectors:
Ni (0.9339, 0.9339, 0.1977)  3 Ni 2.42, 3 Ru 2.47
Ni (0.2510, 0.2510, 0.2465)  3 Ni 2.42, 3 Ru 2.43
Ru (0.5648, 0.5648, 0.3051)  6 Ni 2.43-2.47
Sr (0.7502, 0.7502, 0.7508)  1 Ni 2.95, 1 Ru 2.96

Properties
Crystal system   trigonal
Density of states at the Fermi level   1.0908 states/eV/atom
Formation energy   0.10 eV per atom
E above lowest polymorph   0.038 eV per atom
Symmetry   R3m, No. 160

=====

DFT (PBE-GGA) results for a geometry-optimized SrNiRu2 structure.

Lattice parameters (Å, degrees): 2.8305 4.8294 5.9223 55.52 90.00 90.00
With the nearest neighbours (Å) after each atom.
Sites, in units of the cell vectors:
Ru (0.0000, 0.0000, 0.0000)  6 Ru 2.80-2.83, 4 Sr 2.92, 2 Ni 2.96
Ni (0.0000, 0.0000, 0.5000)  4 Sr 2.80, 2 Ni 2.83, 6 Ru 2.92-2.96
Sr (0.5000, 0.5000, 0.5000)  4 Ni 2.80, 2 Sr 2.83, 6 Ru 2.92-2.96
Ru (0.5000, 0.5000, 0.0000)  6 Ru 2.80-2.83, 4 Ni 2.92, 2 Sr 2.96

Properties
Crystal system   monoclinic
Density of states at the Fermi level   1.5830 states/eV/atom
Formation energy   0.72 eV per atom
E above lowest polymorph   0.516 eV per atom
Symmetry   P2/m, No. 10

=====

DFT (PBE-GGA) results for a geometry-optimized SrNiRu structure.

Lattice parameters (Å, degrees): 4.3439 4.3439 7.0618 90.00 90.00 90.00
With the nearest neighbours (Å) after each atom.
Sites, in units of the cell vectors:
Ni (0.0000, 0.5000, 0.3458)  4 Ru 2.43
Sr (0.5000, 0.0000, 0.1738)  4 Ru 3.17, 5 Ni 3.30-3.39
Ru (0.5000, 0.5000, 0.5000)  4 Ni 2.43
Ni (0.5000, 0.0000, 0.6542)  4 Ru 2.43
Sr (0.0000, 0.5000, 0.8262)  4 Ru 3.17, 5 Ni 3.30-3.39
Ru (0.0000, 0.0000, 0.5000)  4 Ni 2.43

Properties
Crystal system   tetragonal
Density of states at the Fermi level   0.9074 states/eV/atom
Formation energy   0.22 eV per atom
E above lowest polymorph   0.000 eV per atom
Symmetry   P4/nmm, No. 129

=====

DFT (PBE-GGA) results for a geometry-optimized SrNiRu2 structure.

Lattice parameters (Å, degrees): 4.5918 4.5918 4.5918 60.00 60.00 60.00
With the nearest neighbours (Å) after each atom.
Sites, in units of the cell vectors:
Ru (0.7500, 0.7500, 0.7500)  4 Ni 2.81, 4 Sr 2.81
Ni (0.0000, 0.0000, 0.0000)  8 Ru 2.81
Ru (0.2500, 0.2500, 0.2500)  4 Ni 2.81, 4 Sr 2.81
Sr (0.5000, 0.5000, 0.5000)  8 Ru 2.81

Properties
Crystal system   cubic
Density of states at the Fermi level   1.3930 states/eV/atom
Formation energy   0.92 eV per atom
E above lowest polymorph   0.719 eV per atom
Symmetry   Fm-3m, No. 225

=====

DFT (PBE-GGA) results for a geometry-optimized SrNiRu3 structure.

Lattice parameters (Å, degrees): 4.8332 4.8332 4.8332 90.00 90.00 90.00
With the nearest neighbours (Å) after each atom.
Sites, in units of the cell vectors:
Ru (0.0000, 0.5000, 0.0000)  2 Sr 2.42
Sr (0.0000, 0.0000, 0.0000)  6 Ru 2.42
Ni (0.5000, 0.5000, 0.5000)  12 Ru 3.42
Ru (0.5000, 0.0000, 0.0000)  2 Sr 2.42
Ru (0.0000, 0.0000, 0.5000)  2 Sr 2.42

Properties
Crystal system   cubic
Density of states at the Fermi level   1.3938 states/eV/atom
Formation energy   2.87 eV per atom
E above lowest polymorph   1.829 eV per atom
Symmetry   Pm-3m, No. 221

=====

DFT (PBE-GGA) results for a geometry-optimized Sr2NiRu structure.

Lattice parameters (Å, degrees): 7.0896 7.0896 4.5456 71.31 71.31 33.74
With the nearest neighbours (Å) after each atom.
Sites, in units of the cell vectors:
Sr (0.7517, 0.7517, 0.7483)  2 Ni 3.13, 4 Ru 3.27
Sr (0.0008, 0.0008, 0.9991)  2 Ru 3.08, 4 Ni 3.24-3.25
Ni (0.5839, 0.5839, 0.4161)  2 Ru 2.30
Ru (0.1636, 0.1636, 0.3365)  2 Ni 2.30

Properties
Crystal system   orthorhombic
Density of states at the Fermi level   1.1541 states/eV/atom
Formation energy   0.27 eV per atom
Symmetry   Imm2, No. 44

=====

DFT (PBE-GGA) results for a geometry-optimized SrNiRu2 structure.

Lattice parameters (Å, degrees): 2.9158 4.6646 4.9598 90.00 90.00 90.00
With the nearest neighbours (Å) after each atom.
Sites, in units of the cell vectors:
Sr (0.5000, 0.0000, 0.5000)  4 Ni 2.75, 4 Ru 2.88, 2 Sr 2.92
Ni (0.0000, 0.5000, 0.5000)  4 Sr 2.75, 4 Ru 2.88, 2 Ni 2.92
Ru (0.0000, 0.0000, 0.0000)  6 Ru 2.75-2.92, 4 Sr 2.88
Ru (0.5000, 0.5000, 0.0000)  6 Ru 2.75-2.92, 4 Ni 2.88

Properties
Crystal system   orthorhombic
Density of states at the Fermi level   1.6611 states/eV/atom
Formation energy   0.74 eV per atom
E above lowest polymorph   0.538 eV per atom
Symmetry   Pmmm, No. 47

=====

DFT (PBE-GGA) results for a geometry-optimized SrNiRu structure.

Lattice parameters (Å, degrees): 5.8596 5.8596 5.8596 146.76 146.71 47.76
With the nearest neighbours (Å) after each atom.
Sites, in units of the cell vectors:
Ni (0.9487, 0.9487, 0.0000)  4 Ru 2.47
Ru (0.3849, 0.3849, 0.0000)  4 Ni 2.47
Sr (0.6664, 0.6664, 0.0000)  5 Ru 3.02-3.33, 5 Ni 3.03-3.33, 4 Sr 3.35-3.36

Properties
Crystal system   tetragonal
Density of states at the Fermi level   1.2899 states/eV/atom
Formation energy   0.37 eV per atom
E above lowest polymorph   0.156 eV per atom
Symmetry   I4mm, No. 107

=====

DFT (PBE-GGA) results for a geometry-optimized Sr2NiRu structure.

Lattice parameters (Å, degrees): 5.0278 5.0278 5.0278 60.00 60.00 60.00
With the nearest neighbours (Å) after each atom.
Sites, in units of the cell vectors:
Sr (0.0000, 0.0000, 0.0000)  4 Ru 3.08, 4 Sr 3.08
Ni (0.5000, 0.5000, 0.5000)  4 Ru 3.08, 4 Sr 3.08
Sr (0.2500, 0.2500, 0.2500)  4 Ni 3.08, 4 Sr 3.08
Ru (0.7500, 0.7500, 0.7500)  4 Ni 3.08, 4 Sr 3.08

Properties
Crystal system   cubic
Density of states at the Fermi level   1.4102 states/eV/atom
Formation energy   0.68 eV per atom
Symmetry   F-43m, No. 216

=====

DFT (PBE-GGA) results for a geometry-optimized SrNi2Ru structure.

Lattice parameters (Å, degrees): 3.0429 3.0429 7.2158 90.00 90.00 89.97
With the nearest neighbours (Å) after each atom.
Sites, in units of the cell vectors:
Ni (0.0000, 0.0000, 0.0718)  4 Ni 2.48, 1 Ru 2.55
Ru (0.0000, 0.0000, 0.4254)  5 Ni 2.52-2.55
Sr (0.5000, 0.5000, 0.7601)  4 Sr 3.04, 4 Ni 3.11, 4 Ru 3.23
Ni (0.5000, 0.5000, 0.2428)  4 Ni 2.48, 4 Ru 2.52

Properties
Crystal system   tetragonal
Density of states at the Fermi level   1.3879 states/eV/atom
Formation energy   0.45 eV per atom
E above lowest polymorph   0.394 eV per atom
Symmetry   P4mm, No. 99

=====

DFT (PBE-GGA) results for a geometry-optimized SrNiRu2 structure.

Lattice parameters (Å, degrees): 4.3779 2.9097 5.8610 78.15 90.00 90.00
With the nearest neighbours (Å) after each atom.
Sites, in units of the cell vectors:
Sr (0.5000, 0.2500, 0.2500)  2 Sr 2.91, 2 Ni 2.99, 4 Ru 3.14
Ru (0.0000, 0.5606, 0.5715)  2 Ru 2.47-2.56, 2 Ni 2.54
Ni (0.5000, 0.7500, 0.7500)  4 Ru 2.54
Ru (0.0000, 0.9394, 0.9285)  2 Ru 2.47-2.56, 2 Ni 2.54

Properties
Crystal system   monoclinic
Density of states at the Fermi level   1.4679 states/eV/atom
Formation energy   0.65 eV per atom
E above lowest polymorph   0.445 eV per atom
Symmetry   P2/m, No. 10

=====

DFT (PBE-GGA) results for a geometry-optimized Sr2YNiRu structure.

Lattice parameters (Å, degrees): 5.6228 5.1765 5.6228 90.00 90.00 90.00
With the nearest neighbours (Å) after each atom.
Sites, in units of the cell vectors:
Sr (0.5000, 0.0000, 0.0000)  2 Ru 2.81
Sr (0.0000, 0.0000, 0.5000)  2 Ru 2.81
Y (0.0000, 0.5000, 0.0000)  2 Ru 2.59
Ru (0.0000, 0.0000, 0.0000)  2 Y 2.59, 4 Sr 2.81
Ni (0.5000, 0.5000, 0.5000)  8 Sr 3.82, 4 Y 3.98

Properties
Crystal system   tetragonal
Density of states at the Fermi level   1.0183 states/eV/atom
Formation energy   0.52 eV per atom
Symmetry   P4/mmm, No. 123

=====

DFT (PBE-GGA) results for a geometry-optimized Sr2Zn6NiRu structure.

Lattice parameters (Å, degrees): 6.9285 6.4513 6.4639 60.04 62.04 90.02
With the nearest neighbours (Å) after each atom.
Sites, in units of the cell vectors:
Zn (0.3220, 0.8172, 0.9316)  1 Ni 2.35, 1 Ru 2.48
Zn (0.6775, 0.7484, 0.0694)  1 Ni 2.35, 1 Ru 2.48
Ni (0.5000, 0.5000, 0.0000)  6 Zn 2.35
Sr (0.1292, 0.7096, 0.5816)  12 Zn 3.36-3.58, 1 Ni 3.67
Zn (0.3225, 0.2516, 0.9306)  1 Ni 2.35, 1 Ru 2.48
Zn (0.3227, 0.2529, 0.4951)  1 Ni 2.35, 1 Ru 2.48
Ru (0.0000, 0.0000, 0.0000)  6 Zn 2.48
Sr (0.8708, 0.2904, 0.4184)  12 Zn 3.36-3.58, 1 Ni 3.67
Zn (0.6780, 0.1828, 0.0684)  1 Ni 2.35, 1 Ru 2.48
Zn (0.6773, 0.7471, 0.5049)  1 Ni 2.35, 1 Ru 2.48

Properties
Crystal system   monoclinic
Density of states at the Fermi level   0.3436 states/eV/atom
Formation energy   -0.21 eV per atom
Symmetry   C2/m, No. 12

=====

DFT (PBE-GGA) results for a geometry-optimized TaNiRu4 structure.

Lattice parameters (Å, degrees): 5.0475 5.0475 5.0475 60.00 60.00 60.00
With the nearest neighbours (Å) after each atom.
Sites, in units of the cell vectors:
Ru (0.3742, 0.8773, 0.3742)  6 Ru 2.51-2.54
Ru (0.8773, 0.3742, 0.3742)  6 Ru 2.51-2.54
Ta (0.7500, 0.7500, 0.7500)  12 Ru 2.96, 4 Ni 3.09
Ru (0.3742, 0.3742, 0.3742)  6 Ru 2.51-2.54
Ni (0.0000, 0.0000, 0.0000)  12 Ru 2.96, 4 Ta 3.09
Ru (0.3742, 0.3742, 0.8773)  6 Ru 2.51-2.54

Properties
Crystal system   cubic
Density of states at the Fermi level   1.8386 states/eV/atom
Formation energy   0.28 eV per atom
Symmetry   F-43m, No. 216

=====

DFT (PBE-GGA) results for a geometry-optimized TaNiRu2 structure.

Lattice parameters (Å, degrees): 4.6057 4.6057 4.6057 129.26 129.26 74.58
With the nearest neighbours (Å) after each atom.
Sites, in units of the cell vectors:
Ru (0.5000, 0.5000, 0.0000)  4 Ni 2.69, 4 Ta 2.69, 4 Ru 2.79
Ni (0.7500, 0.2500, 0.5000)  8 Ru 2.69, 4 Ta 2.79
Ru (0.0000, 0.0000, 0.0000)  4 Ta 2.69, 4 Ni 2.69, 4 Ru 2.79
Ta (0.2500, 0.7500, 0.5000)  8 Ru 2.69, 4 Ni 2.79

Properties
Crystal system   tetragonal
Density of states at the Fermi level   1.2027 states/eV/atom
Formation energy   -0.13 eV per atom
Symmetry   I4/mmm, No. 139

=====

DFT (PBE-GGA) results for a geometry-optimized Ta2Ni3Ru3 structure.

Lattice parameters (Å, degrees): 3.8612 3.8171 7.4354 90.00 90.00 90.00
With the nearest neighbours (Å) after each atom.
Sites, in units of the cell vectors:
Ru (0.0000, 0.5000, 0.0000)  4 Ta 2.65, 8 Ni 2.66-2.71
Ni (0.5000, 0.5000, 0.7543)  2 Ni 2.64, 6 Ru 2.66-2.70, 4 Ta 2.71
Ru (0.5000, 0.0000, 0.5000)  4 Ni 2.69, 4 Ta 2.69, 4 Ru 2.71
Ni (0.5000, 0.0000, 0.0000)  4 Ni 2.64, 4 Ta 2.67, 4 Ru 2.71
Ta (0.0000, 0.0000, 0.7527)  6 Ru 2.65-2.69, 6 Ni 2.67-2.71
Ni (0.5000, 0.5000, 0.2457)  2 Ni 2.64, 6 Ru 2.66-2.70, 4 Ta 2.71
Ru (0.0000, 0.5000, 0.5000)  4 Ta 2.68, 4 Ni 2.70, 4 Ru 2.71
Ta (0.0000, 0.0000, 0.2473)  6 Ru 2.65-2.69, 6 Ni 2.67-2.71

Properties
Crystal system   orthorhombic
Density of states at the Fermi level   0.9043 states/eV/atom
Formation energy   -0.30 eV per atom
Symmetry   Pmmm, No. 47

=====

DFT (PBE-GGA) results for a geometry-optimized Ta2NiRu structure.

Lattice parameters (Å, degrees): 4.0488 4.0485 3.7201 90.00 90.00 90.00
With the nearest neighbours (Å) after each atom.
Sites, in units of the cell vectors:
Ru (0.0000, 0.5000, 0.5000)  8 Ta 2.75, 4 Ni 2.86
Ta (0.0000, 0.0000, 0.0000)  4 Ru 2.75, 4 Ni 2.75, 4 Ta 2.86
Ni (0.5000, 0.0000, 0.5000)  8 Ta 2.75, 4 Ru 2.86
Ta (0.5000, 0.5000, 0.0000)  4 Ni 2.75, 4 Ru 2.75, 4 Ta 2.86

Properties
Crystal system   tetragonal
Density of states at the Fermi level   1.1115 states/eV/atom
Formation energy   -0.23 eV per atom
Symmetry   P4/mmm, No. 123

=====

DFT (PBE-GGA) results for a geometry-optimized TaNiRu2 structure.

Lattice parameters (Å, degrees): 4.3865 2.7151 4.8596 84.35 90.00 90.00
With the nearest neighbours (Å) after each atom.
Sites, in units of the cell vectors:
Ni (0.5000, 0.7500, 0.7500)  4 Ru 2.55, 2 Ta 2.66, 2 Ni 2.72
Ta (0.5000, 0.2500, 0.2500)  4 Ni 2.66-2.90, 4 Ru 2.71, 2 Ta 2.72
Ru (0.0000, 0.9639, 0.9798)  2 Ni 2.55, 5 Ru 2.59-2.77, 2 Ta 2.71
Ru (0.0000, 0.5361, 0.5202)  2 Ni 2.55, 5 Ru 2.59-2.77, 2 Ta 2.71

Properties
Crystal system   monoclinic
Density of states at the Fermi level   1.4024 states/eV/atom
Formation energy   0.02 eV per atom
Symmetry   P2/m, No. 10

=====

DFT (PBE-GGA) results for a geometry-optimized TaNiRu2 structure.

Lattice parameters (Å, degrees): 3.1696 3.1664 5.7005 90.00 90.00 90.00
With the nearest neighbours (Å) after each atom.
Sites, in units of the cell vectors:
Ta (0.5000, 0.5000, 0.2500)  8 Ru 2.71, 2 Ni 2.85
Ni (0.5000, 0.5000, 0.7500)  8 Ru 2.60, 2 Ta 2.85
Ru (0.0000, 0.0000, 0.9818)  4 Ni 2.60, 1 Ru 2.64, 4 Ta 2.71
Ru (0.0000, 0.0000, 0.5182)  4 Ni 2.60, 1 Ru 2.64, 4 Ta 2.71

Properties
Crystal system   tetragonal
Density of states at the Fermi level   1.4038 states/eV/atom
Formation energy   -0.13 eV per atom
Symmetry   P4/mmm, No. 123

=====

DFT (PBE-GGA) results for a geometry-optimized Ta2NiRu structure.

Lattice parameters (Å, degrees): 3.0563 3.0563 6.5749 90.00 90.00 90.00
With the nearest neighbours (Å) after each atom.
Sites, in units of the cell vectors:
Ta (0.0000, 0.0000, 0.0090)  4 Ni 2.68, 4 Ru 2.75
Ni (0.5000, 0.5000, 0.2500)  8 Ta 2.68
Ru (0.5000, 0.5000, 0.7500)  8 Ta 2.75, 4 Ru 3.06
Ta (0.0000, 0.0000, 0.4910)  4 Ni 2.68, 4 Ru 2.75

Properties
Crystal system   tetragonal
Density of states at the Fermi level   1.1330 states/eV/atom
Formation energy   -0.20 eV per atom
Symmetry   P4/mmm, No. 123

=====

Table of magnetization (μB/f.u.), in record order: 0.14; 0.36; 0.00; 3.81; 5.50; 0.94; 0.00; 1.02; 1.50; 0.00; 1.80; 0.00; 0.00; 1.50; 0.00; 0.00; 0.00; 0.00; 0.05; 0.00